Y2SiNi: optimized geometry, GGA-PBE.

a b c (Å): 5.626 5.626 14.884
angles (deg): 90.00 90.00 90.00
Space group I-42d (No. 122)
Symmetry-distinct sites (fractional):
Y1 0.234 0.250 0.125 (multiplicity 8)
Si1 0.000 0.000 0.500 (multiplicity 4)
Ni1 0.000 0.000 0.000 (multiplicity 4)



CdB3F: optimized geometry, GGA-PBE.

The value obtained for the distance to the lowest polymorph of the same formula is 0.0 kJ per mole of atoms.

a b c (Å): 4.008 4.008 4.008
angles (deg): 90.00 90.00 90.00
Space group Pm-3m (No. 221)
Symmetry-distinct sites (fractional):
Cd1 0.000 0.000 0.000 (multiplicity 1)
B1 0.000 0.500 0.500 (multiplicity 3)
F1 0.500 0.500 0.500 (multiplicity 1)



| no. | formation energy (no corrections) (kJ per mole of atoms) | magnetization (μB per cell) |
| --- | --- | --- |
| 1 | 29.84 | 0.0 |
| 2 | 175.88 | 0.0 |